[1]
# SiNiP2

SiNiP2 after structural relaxation (PBE-GGA, Alexandria).

POSCAR file:
```
SiNiP2
1.0
-2.750 -1.238 4.321
2.356 -2.782 3.805
-0.556 4.329 -2.952
Ni P Si
1 2 1
Direct
0.250 0.750 0.500 Ni
0.031 0.031 0.000 P
0.469 0.469 0.000 P
0.750 0.250 0.500 Si
```

Size of the total moment   0.00 Bohr magnetons per cell
DOS at the Fermi energy   0.474 states/eV/atom
SG   Immm

---

[2]
# SiNi7Sn2P2

SiNi7Sn2P2 after structural relaxation (PBE-GGA, Alexandria).

POSCAR file:
```
SiNi7Sn2P2
1.0
-3.456 0.643 0.460
-0.591 -0.735 -3.417
-4.094 -13.500 1.774
Si Ni Sn P
1 7 2 2
Direct
0.000 0.000 0.000 Si
0.500 0.500 0.000 Ni
0.312 0.312 0.376 Ni
0.688 0.688 0.624 Ni
0.937 0.438 0.126 Ni
0.438 0.937 0.126 Ni
0.562 0.063 0.874 Ni
0.063 0.562 0.874 Ni
0.789 0.789 0.422 Sn
0.211 0.211 0.578 Sn
0.610 0.610 0.779 P
0.390 0.390 0.221 P
```

Size of the total moment   0.00 Bohr magnetons per cell
DOS at the Fermi energy   0.515 states/eV/atom
SG   I4/mmm

---

[3]
# SrSiNi3P

SrSiNi3P after structural relaxation (PBE-GGA, Alexandria).

POSCAR file:
```
SrSiNi3P
1.0
-4.108 2.096 3.141
-3.961 -0.816 -4.636
0.726 -5.112 4.362
Sr Si Ni P
2 2 6 2
Direct
0.750 0.240 0.481 Sr
0.250 0.760 0.519 Sr
0.250 0.048 0.096 Si
0.750 0.952 0.904 Si
0.250 0.231 0.462 Ni
0.000 0.288 0.000 Ni
0.500 0.712 0.000 Ni
0.500 0.288 0.000 Ni
0.000 0.712 0.000 Ni
0.750 0.769 0.538 Ni
0.250 0.406 0.813 P
0.750 0.594 0.187 P
```

Size of the total moment   0.00 Bohr magnetons per cell
DOS at the Fermi energy   0.754 states/eV/atom
SG   Cmcm

---

[4]
# SrSiNi2P6

SrSiNi2P6 after structural relaxation (PBE-GGA, Alexandria).

POSCAR file:
```
SrSiNi2P6
1.0
-0.074 5.718 0.465
-5.003 2.784 0.360
-1.487 2.214 7.932
Sr Si Ni P
1 1 2 6
Direct
0.000 0.000 0.000 Sr
0.500 0.500 0.500 Si
0.720 0.720 0.840 Ni
0.280 0.280 0.160 Ni
0.151 0.549 0.751 P
0.549 0.151 0.751 P
0.451 0.451 0.249 P
0.849 0.451 0.249 P
0.451 0.849 0.249 P
0.549 0.549 0.751 P
```

Size of the total moment   0.00 Bohr magnetons per cell
DOS at the Fermi energy   0.173 states/eV/atom
SG   R-3m

---

no.,formation energy without anion corrections (meV per atom)
1,272.7
2,-349.2
3,-452.1
4,-84.2